Density functional theory data (PBE-GGA) for an optimized crystal structure of VNiAs2Se.

Lattice parameters (Å, degrees): 4.708 4.708 4.686 90.00 90.00 90.00
Space group P4/mmm (No. 123)
Asymmetric unit:
1 V 0.000 0.000 0.000 (multiplicity 1)
2 Ni 0.500 0.500 0.500 (multiplicity 1)
3 As 0.000 0.500 0.000 (multiplicity 2)
4 Se 0.000 0.000 0.500 (multiplicity 1)

* energy relative to the lowest polymorph listed for this composition: 0.0 meV/atom
* density: 5.41 g/cm3
* formation energy without anion corrections: 2.8 eV per formula unit
* uncorrected energy: -4.968 eV/atom